*P*
Entry from Alexandria via LeMat-Bulk: an optimized crystal structure of Er2Pa2Tc3 (PBE).

Structure (extended XYZ):
```
7
Lattice="3.922 -2.403 0.000 3.922 2.403 0.000 -2.958 0.000 8.337" Properties=species:S:1:pos:R:3 pbc="T T T"
Er -0.120 0.000 3.203
Er 5.007 0.000 5.134
Pa 2.586 0.000 1.175
Pa 2.301 0.000 7.162
Tc 0.000 0.000 0.000
Tc -0.169 0.000 6.522
Tc 5.056 0.000 1.815
```

Results
For the density of states at the Fermi level, the calculation gives 6.5 states/eV/f.u. The density comes out at 11.5 g/cm3. As for the space-group type: C2/m, No. 12.

---

*Q*
Entry from Alexandria via LeMat-Bulk: an optimized crystal structure of Er2Pa2Tc3 (PBE).

Structure (extended XYZ):
```
7
Lattice="3.492 0.000 0.000 -1.745 6.762 0.000 -1.735 -2.209 6.659" Properties=species:S:1:pos:R:3 pbc="T T T"
Er -0.001 -0.079 1.900
Er 0.013 4.631 4.760
Pa -0.001 3.459 1.501
Pa 0.013 1.094 5.158
Tc -1.740 2.276 3.330
Tc -1.733 2.995 6.538
Tc 1.745 1.558 0.122
```

Results
For the density of states at the Fermi level, the calculation gives 3.8 states/eV/f.u. The density comes out at 11.5 g/cm3. As for the space-group type: P-1, No. 2.

---

Name the least stable of them. *P*.

---

*P*
Entry from Alexandria via LeMat-Bulk: an optimized crystal structure of ErPaTlTc (PBE).

Structure (extended XYZ):
```
4
Lattice="0.000 3.598 3.598 3.598 0.000 3.598 3.598 3.598 0.000" Properties=species:S:1:pos:R:3 pbc="T T T"
Er 0.000 0.000 0.000
Pa 3.598 3.598 3.598
Tl 1.799 1.799 1.799
Tc 5.398 5.398 5.398
```

Results
For the density of states at the Fermi level, the calculation gives 4.1 states/eV/f.u. The density comes out at 12.5 g/cm3. As for the space-group type: F-43m, No. 216.

---

*Q*
Entry from Alexandria via LeMat-Bulk: an optimized crystal structure of ErPaTlTc (PBE).

Structure (extended XYZ):
```
4
Lattice="3.353 0.000 0.000 0.000 3.353 0.000 0.000 0.000 8.403" Properties=species:S:1:pos:R:3 pbc="T T T"
Er 0.000 0.000 0.000
Pa 0.000 0.000 4.969
Tl 1.677 1.677 2.421
Tc 1.677 1.677 6.592
```

Results
For the density of states at the Fermi level, the calculation gives 2.7 states/eV/f.u. The density comes out at 12.3 g/cm3. As for the space-group type: P4mm, No. 99.

---

Name the least stable of them. *P*.

---

*P*
Entry from Alexandria via LeMat-Bulk: an optimized crystal structure of Er2PaTe (PBE).

Structure (extended XYZ):
```
4
Lattice="3.716 0.000 0.000 0.000 3.716 0.000 0.000 0.000 8.013" Properties=species:S:1:pos:R:3 pbc="T T T"
Er 0.000 0.000 1.854
Er 0.000 0.000 6.158
Pa 1.858 1.858 4.006
Te 1.858 1.858 0.000
```

Results
For the density of states at the Fermi level, the calculation gives 5.3 states/eV/f.u. The density comes out at 10.4 g/cm3. As for the space-group type: P4/mmm, No. 123.

---

*Q*
Entry from Alexandria via LeMat-Bulk: an optimized crystal structure of Er2PaTe (PBE).

Structure (extended XYZ):
```
4
Lattice="1.771 1.023 10.887 -1.771 1.023 10.887 0.000 -2.045 10.887" Properties=species:S:1:pos:R:3 pbc="T T T"
Er 0.000 0.000 3.230
Er 0.000 0.000 29.430
Pa 0.000 0.000 0.000
Te 0.000 0.000 16.330
```

Results
For the density of states at the Fermi level, the calculation gives 6.4 states/eV/f.u. The density comes out at 9.7 g/cm3. As for the space-group type: R-3m, No. 166.

---

Name the least stable of them. *Q*.

---

*P*
Entry from Alexandria via LeMat-Bulk: an optimized crystal structure of ErPaTe4 (PBE).

Structure (extended XYZ):
```
6
Lattice="7.174 0.000 0.000 0.000 4.378 0.000 -0.027 0.000 7.420" Properties=species:S:1:pos:R:3 pbc="T T T"
Er 0.000 0.000 0.000
Pa -0.014 2.189 3.710
Te 1.723 2.189 1.282
Te 1.733 0.000 4.895
Te 5.414 0.000 2.524
Te 5.424 2.189 6.138
```

Results
The density comes out at 6.5 g/cm3. As for the space-group type: P2/m, No. 10.

---

*Q*
Entry from Alexandria via LeMat-Bulk: an optimized crystal structure of ErPaTe4 (PBE).

Structure (extended XYZ):
```
6
Lattice="5.033 -5.126 0.000 5.033 5.126 0.000 0.000 0.000 4.476" Properties=species:S:1:pos:R:3 pbc="T T T"
Er 0.000 0.000 0.000
Pa 5.033 0.000 2.238
Te 2.045 0.000 2.238
Te 5.033 2.020 0.000
Te 5.033 -2.020 0.000
Te 8.020 0.000 2.238
```

Results
For the density of states at the Fermi level, the calculation gives 1.0 states/eV/f.u. The density comes out at 6.5 g/cm3. As for the space-group type: Cmmm, No. 65.

---

Name the least stable of them. *Q*.

---

*P*
Entry from Alexandria via LeMat-Bulk: an optimized crystal structure of ErPaTe2 (PBE).

Structure (extended XYZ):
```
4
Lattice="1.967 1.136 10.185 -1.967 1.136 10.185 0.000 -2.272 10.185" Properties=species:S:1:pos:R:3 pbc="T T T"
Er 0.000 0.000 0.000
Pa 0.000 0.000 15.277
Te 0.000 0.000 2.994
Te 0.000 0.000 27.559
```

Results
For the density of states at the Fermi level, the calculation gives 5.0 states/eV/f.u. The density comes out at 7.9 g/cm3. As for the space-group type: R-3m, No. 166.

---

*Q*
Entry from Alexandria via LeMat-Bulk: an optimized crystal structure of ErPaTe2 (PBE).

Structure (extended XYZ):
```
4
Lattice="3.748 0.000 0.000 0.000 3.748 0.000 0.000 0.000 7.448" Properties=species:S:1:pos:R:3 pbc="T T T"
Er 0.000 0.000 0.000
Pa 0.000 0.000 3.724
Te 1.874 1.874 1.894
Te 1.874 1.874 5.554
```

Results
For the density of states at the Fermi level, the calculation gives 6.5 states/eV/f.u. The density comes out at 10.4 g/cm3. As for the space-group type: P4/mmm, No. 123.

---

*R*
Entry from Alexandria via LeMat-Bulk: an optimized crystal structure of ErPaTe2 (PBE).

Structure (extended XYZ):
```
4
Lattice="0.000 3.741 3.741 3.741 0.000 3.741 3.741 3.741 0.000" Properties=species:S:1:pos:R:3 pbc="T T T"
Er 0.000 0.000 0.000
Pa 3.741 3.741 3.741
Te 1.871 1.871 1.871
Te 5.612 5.612 5.612
```

Results
For the density of states at the Fermi level, the calculation gives 6.3 states/eV/f.u. The density comes out at 10.4 g/cm3. As for the space-group type: Fm-3m, No. 225.

---

Name the least stable of them. *P*.

---

*P*
Entry from Alexandria via LeMat-Bulk: an optimized crystal structure of ErPaTe3 (PBE).

Structure (extended XYZ):
```
10
Lattice="7.600 0.000 0.000 0.000 4.291 0.000 -2.577 0.000 10.709" Properties=species:S:1:pos:R:3 pbc="T T T"
Er 0.515 1.073 5.294
Er 4.507 3.218 5.415
Pa 0.602 1.073 9.093
Pa 4.421 3.218 1.616
Te -0.677 3.218 3.528
Te 1.785 3.218 0.053
Te 1.871 3.218 7.099
Te 3.151 1.073 3.611
Te 3.238 1.073 10.656
Te 5.700 1.073 7.182
```

Results
For the density of states at the Fermi level, the calculation gives 6.1 states/eV/f.u. The density comes out at 7.4 g/cm3. As for the space-group type: P2_1/m, No. 11.

---

*Q*
Entry from Alexandria via LeMat-Bulk: an optimized crystal structure of ErPaTe3 (PBE).

Structure (extended XYZ):
```
10
Lattice="-2.987 5.367 4.925 2.987 -5.367 4.925 2.987 5.367 -4.925" Properties=species:S:1:pos:R:3 pbc="T T T"
Er 0.000 0.000 0.000
Er 0.000 5.367 0.000
Pa 2.987 2.683 0.607
Pa 0.000 2.683 4.318
Te 2.987 -0.473 1.613
Te 2.987 4.894 -1.613
Te 0.000 2.683 1.138
Te 2.987 2.683 3.787
Te 0.000 0.473 6.537
Te 0.000 5.840 3.312
```

Results
For the density of states at the Fermi level, the calculation gives 5.9 states/eV/f.u. The density comes out at 8.2 g/cm3. As for the space-group type: Imma, No. 74.

---

Name the least stable of them. *Q*.

---

*P*
Entry from Alexandria via LeMat-Bulk: an optimized crystal structure of ErThPa (PBE).

Structure (extended XYZ):
```
3
Lattice="-1.690 1.690 7.647 1.690 -1.690 7.647 1.690 1.690 -7.647" Properties=species:S:1:pos:R:3 pbc="T T T"
Er 0.000 0.000 0.000
Th 0.000 0.000 10.395
Pa 0.000 0.000 5.185
```

Results
For the density of states at the Fermi level, the calculation gives 5.5 states/eV/f.u. The density comes out at 12.0 g/cm3. As for the space-group type: I4mm, No. 107.

---

*Q*
Entry from Alexandria via LeMat-Bulk: an optimized crystal structure of ErThPa (PBE).

Structure (extended XYZ):
```
6
Lattice="4.709 0.000 0.000 0.000 4.709 0.000 0.000 0.000 8.333" Properties=species:S:1:pos:R:3 pbc="T T T"
Er 1.177 1.177 1.666
Er 3.532 3.532 6.667
Th 1.177 1.177 6.504
Th 3.532 3.532 1.829
Pa 1.177 3.532 4.167
Pa 3.532 1.177 4.167
```

Results
For the density of states at the Fermi level, the calculation gives 5.0 states/eV/f.u. The density comes out at 11.3 g/cm3. As for the space-group type: P4/nmm, No. 129.

---

Name the least stable of them. *Q*.

---

*P*
Entry from Alexandria via LeMat-Bulk: an optimized crystal structure of Er2ThPa (PBE).

Structure (extended XYZ):
```
4
Lattice="5.789 0.000 0.000 0.000 5.789 0.000 0.000 0.000 3.530" Properties=species:S:1:pos:R:3 pbc="T T T"
Er 0.000 2.894 0.000
Er 2.894 0.000 0.000
Th 0.000 0.000 1.765
Pa 2.894 2.894 1.765
```

Results
For the density of states at the Fermi level, the calculation gives 7.9 states/eV/f.u. The density comes out at 11.2 g/cm3. As for the space-group type: P4/mmm, No. 123.

---

*Q*
Entry from Alexandria via LeMat-Bulk: an optimized crystal structure of Er2ThPa (PBE).

Structure (extended XYZ):
```
4
Lattice="3.402 0.000 0.000 0.000 3.402 0.000 0.000 0.000 10.139" Properties=species:S:1:pos:R:3 pbc="T T T"
Er 0.000 0.000 2.373
Er 0.000 0.000 7.766
Th 1.701 1.701 5.069
Pa 1.701 1.701 0.000
```

Results
For the density of states at the Fermi level, the calculation gives 7.5 states/eV/f.u. The density comes out at 11.3 g/cm3. As for the space-group type: P4/mmm, No. 123.

---

Name the least stable of them. *P*.